Ca2WCl | GGA-PBE | relaxed

Results
For the mass density, the calculation gives 4.3 g cm⁻³. The value obtained for the uncorrected formation energy is 0.460 eV/atom. The calculated total energy comes out at -16.963 eV for the cell shown. The total magnetic moment is 0.925 μB per atom.

a b c (Å): 6.111 6.111 6.111
angles (deg): 146.05 112.66 77.59
Site moments in Bohr magnetons follow the coordinates.
Element x y z (fractional)
Ca (0.031, 0.031, 0.000)  0.03
Ca (0.469, 0.469, 0.000)  0.03
W (0.750, 0.250, 0.500)  2.50
Cl (0.250, 0.750, 0.500)  0.04